The following is a PBE calculation of an optimized crystal structure of HoSbIrRh, from the Alexandria database.

Lattice parameters (Å, degrees): 6.6681 6.6681 6.6681 90.00 90.00 90.00
Space group F-43m (No. 216)
Unique sites:
Ho 0.0000 0.0000 0.0000 [4 per cell]
Sb 0.0000 0.0000 0.5000 [4 per cell]
Ir 0.2500 0.2500 0.2500 [4 per cell]
Rh 0.2500 0.2500 0.7500 [4 per cell]

Properties
calculated total energy: -6.793 eV/atom


The following is a PBE calculation of an optimized crystal structure of HoSiIrRh, from the Alexandria database.

Lattice parameters (Å, degrees): 3.8576 4.0067 9.9661 90.00 90.00 90.00
Space group Imm2 (No. 44)
Unique sites:
Ho 0.0000 0.0000 0.0000 [2 per cell]
Si 0.0000 0.5000 0.2481 [2 per cell]
Ir 0.0000 0.0000 0.6200 [2 per cell]
Rh 0.0000 0.0000 0.3632 [2 per cell]

Properties
calculated total energy: -7.213 eV/atom


The following is a PBE calculation of an optimized crystal structure of HoSi2IrRh, from the Alexandria database.

Lattice parameters (Å, degrees): 4.0662 4.0662 9.9596 90.00 90.00 90.00
Space group I-4m2 (No. 119)
Unique sites:
Ho 0.0000 0.0000 0.0000 [2 per cell]
Si 0.0000 0.0000 0.3789 [4 per cell]
Ir 0.0000 0.5000 0.7500 [2 per cell]
Rh 0.0000 0.5000 0.2500 [2 per cell]

Properties
calculated total energy: -7.432 eV/atom


The following is a PBE calculation of an optimized crystal structure of HoSi2Ir2Rh, from the Alexandria database.

Lattice parameters (Å, degrees): 4.4242 4.4242 5.4558 90.00 90.00 90.00
Space group P4/mmm (No. 123)
Unique sites:
Ho 0.0000 0.0000 0.0000 [1 per cell]
Si 0.0000 0.5000 0.5000 [2 per cell]
Ir 0.5000 0.5000 0.2408 [2 per cell]
Rh 0.0000 0.0000 0.5000 [1 per cell]

Properties
calculated total energy: -7.078 eV/atom


The following is a PBE calculation of an optimized crystal structure of HoSnIrRh, from the Alexandria database.

Lattice parameters (Å, degrees): 6.6474 6.6474 6.6474 90.00 90.00 90.00
Space group F-43m (No. 216)
Unique sites:
Ho 0.0000 0.0000 0.0000 [4 per cell]
Sn 0.0000 0.0000 0.5000 [4 per cell]
Ir 0.2500 0.2500 0.2500 [4 per cell]
Rh 0.2500 0.2500 0.7500 [4 per cell]

Properties
calculated total energy: -6.879 eV/atom
formation enthalpy at 0 K: -2.7 eV per formula unit


The following is a PBE calculation of an optimized crystal structure of HoTiIrRh, from the Alexandria database.

Lattice parameters (Å, degrees): 6.5261 6.5261 6.5261 90.00 90.00 90.00
Space group F-43m (No. 216)
Unique sites:
Ho 0.0000 0.0000 0.0000 [4 per cell]
Ti 0.0000 0.0000 0.5000 [4 per cell]
Ir 0.2500 0.2500 0.7500 [4 per cell]
Rh 0.2500 0.2500 0.2500 [4 per cell]

Properties
calculated total energy: -7.897 eV/atom
formation enthalpy at 0 K: -2.9 eV per formula unit


The following is a PBE calculation of an optimized crystal structure of YHoIrRh, from the Alexandria database.

Lattice parameters (Å, degrees): 6.8453 6.8453 6.8453 90.00 90.00 90.00
Space group F-43m (No. 216)
Unique sites:
Y 0.0000 0.0000 0.0000 [4 per cell]
Ho 0.0000 0.0000 0.5000 [4 per cell]
Ir 0.2500 0.2500 0.2500 [4 per cell]
Rh 0.2500 0.2500 0.7500 [4 per cell]

Properties
calculated total energy: -7.683 eV/atom
formation enthalpy at 0 K: -3.5 eV per formula unit


The following is a PBE calculation of an optimized crystal structure of HoZnIrRh, from the Alexandria database.

Lattice parameters (Å, degrees): 6.4555 6.4555 6.4555 90.00 90.00 90.00
Space group F-43m (No. 216)
Unique sites:
Ho 0.0000 0.0000 0.0000 [4 per cell]
Zn 0.0000 0.0000 0.5000 [4 per cell]
Ir 0.2500 0.2500 0.2500 [4 per cell]
Rh 0.2500 0.2500 0.7500 [4 per cell]

Properties
calculated total energy: -6.067 eV/atom
formation enthalpy at 0 K: -2.2 eV per formula unit


The following is a PBE calculation of an optimized crystal structure of Ho8IrRu2, from the Alexandria database.

Lattice parameters (Å, degrees): 17.3049 4.8419 6.8022 90.00 107.32 90.00
Space group C2/m (No. 12)
Unique sites:
Ho 0.0314 0.0000 0.2912 [4 per cell]
Ho 0.0955 0.5000 0.9504 [4 per cell]
Ho 0.1677 0.5000 0.4647 [4 per cell]
Ho 0.2047 0.0000 0.8145 [4 per cell]
Ir 0.0000 0.5000 0.5000 [2 per cell]
Ru 0.1854 0.0000 0.2002 [4 per cell]

Properties
calculated total energy: -6.208 eV/atom
excess energy over the best structure of this formula in the dataset: 0.000 eV/atom
formation enthalpy at 0 K: -4.3 eV per formula unit


The following is a PBE calculation of an optimized crystal structure of Ho6Ir3Ru, from the Alexandria database.

Lattice parameters (Å, degrees): 8.0619 12.1017 4.7220 90.00 90.00 90.00
Space group Pnnm (No. 58)
Unique sites:
Ho 0.0045 0.2434 0.0000 [4 per cell]
Ho 0.1577 0.4087 0.5000 [4 per cell]
Ho 0.1750 0.0785 0.5000 [4 per cell]
Ir 0.0000 0.0000 0.0000 [2 per cell]
Ir 0.1642 0.8370 0.5000 [4 per cell]
Ru 0.0000 0.5000 0.0000 [2 per cell]

Properties
calculated total energy: -6.916 eV/atom
formation enthalpy at 0 K: -5.8 eV per formula unit


The following is a PBE calculation of an optimized crystal structure of Ho8IrRu5, from the Alexandria database.

Lattice parameters (Å, degrees): 8.4807 8.4807 8.5143 90.00 90.00 90.00
Space group I-4 (No. 82)
Unique sites:
Ho 0.0573 0.3158 0.4585 [8 per cell]
Ho 0.0747 0.1821 0.8242 [8 per cell]
Ir 0.0000 0.5000 0.7500 [2 per cell]
Ru 0.0000 0.0000 0.5000 [2 per cell]
Ru 0.1200 0.2490 0.1476 [8 per cell]

Properties
calculated total energy: -6.848 eV/atom
formation enthalpy at 0 K: -4.0 eV per formula unit


The following is a PBE calculation of an optimized crystal structure of Ho4Ir3Ru, from the Alexandria database.

Lattice parameters (Å, degrees): 3.4361 4.7915 9.5716 90.00 90.00 90.00
Space group Pmmm (No. 47)
Unique sites:
Ho 0.0000 0.0000 0.0000 [1 per cell]
Ho 0.0000 0.0000 0.5000 [1 per cell]
Ho 0.0000 0.5000 0.2479 [2 per cell]
Ir 0.5000 0.0000 0.2498 [2 per cell]
Ir 0.5000 0.5000 0.5000 [1 per cell]
Ru 0.5000 0.5000 0.0000 [1 per cell]

Properties
calculated total energy: -7.513 eV/atom
formation enthalpy at 0 K: -5.9 eV per formula unit


The following is a PBE calculation of an optimized crystal structure of Ho3Ir2Ru, from the Alexandria database.

Lattice parameters (Å, degrees): 4.8056 4.8056 5.8830 90.00 90.00 120.00
Space group P-3m1 (No. 164)
Unique sites:
Ho 0.0000 0.0000 0.0000 [1 per cell]
Ho 0.3333 0.6667 0.6660 [2 per cell]
Ir 0.3333 0.6667 0.1693 [2 per cell]
Ru 0.0000 0.0000 0.5000 [1 per cell]

Properties
calculated total energy: -7.512 eV/atom
formation enthalpy at 0 K: -4.3 eV per formula unit


The following is a PBE calculation of an optimized crystal structure of Ho4IrRu3, from the Alexandria database.

Lattice parameters (Å, degrees): 3.3879 4.7995 9.5816 90.00 90.00 90.00
Space group Pmmm (No. 47)
Unique sites:
Ho 0.0000 0.0000 0.0000 [1 per cell]
Ho 0.0000 0.0000 0.5000 [1 per cell]
Ho 0.0000 0.5000 0.2470 [2 per cell]
Ir 0.5000 0.5000 0.5000 [1 per cell]
Ru 0.5000 0.0000 0.2504 [2 per cell]
Ru 0.5000 0.5000 0.0000 [1 per cell]

Properties
calculated total energy: -7.366 eV/atom
formation enthalpy at 0 K: -3.9 eV per formula unit


The following is a PBE calculation of an optimized crystal structure of Ho6IrRu2, from the Alexandria database.

Lattice parameters (Å, degrees): 6.5731 7.3125 11.3404 90.00 123.51 90.00
Space group P2_1/c (No. 14)
Unique sites:
Ho 0.0757 0.0439 0.2400 [4 per cell]
Ho 0.2230 0.6701 0.0722 [4 per cell]
Ho 0.3980 0.1714 0.0719 [4 per cell]
Ir 0.5000 0.0000 0.5000 [2 per cell]
Ru 0.3098 0.1286 0.7757 [4 per cell]

Properties
calculated total energy: -6.516 eV/atom
excess energy over the best structure of this formula in the dataset: 0.030 eV/atom
formation enthalpy at 0 K: -3.8 eV per formula unit


The following is a PBE calculation of an optimized crystal structure of Ho5IrRu4, from the Alexandria database.

Lattice parameters (Å, degrees): 3.3879 3.3879 16.9363 90.00 90.00 90.00
Space group P4/mmm (No. 123)
Unique sites:
Ho 0.0000 0.0000 0.0000 [1 per cell]
Ho 0.0000 0.0000 0.1992 [2 per cell]
Ho 0.0000 0.0000 0.3975 [2 per cell]
Ir 0.5000 0.5000 0.5000 [1 per cell]
Ru 0.5000 0.5000 0.0998 [2 per cell]
Ru 0.5000 0.5000 0.2998 [2 per cell]

Properties
calculated total energy: -7.345 eV/atom
formation enthalpy at 0 K: -4.6 eV per formula unit


The following is a PBE calculation of an optimized crystal structure of Ho2IrRu, from the Alexandria database.

Lattice parameters (Å, degrees): 4.8077 4.8077 3.3857 90.00 90.00 90.00
Space group P4/mmm (No. 123)
Unique sites:
Ho 0.0000 0.5000 0.0000 [2 per cell]
Ir 0.0000 0.0000 0.5000 [1 per cell]
Ru 0.5000 0.5000 0.5000 [1 per cell]

Properties
calculated total energy: -7.453 eV/atom
formation enthalpy at 0 K: -2.5 eV per formula unit


The following is a PBE calculation of an optimized crystal structure of Ho5Ir4Ru, from the Alexandria database.

Lattice parameters (Å, degrees): 3.4225 3.4225 16.8500 90.00 90.00 90.00
Space group P4/mmm (No. 123)
Unique sites:
Ho 0.0000 0.0000 0.0000 [1 per cell]
Ho 0.0000 0.0000 0.2007 [2 per cell]
Ho 0.0000 0.0000 0.4018 [2 per cell]
Ir 0.5000 0.5000 0.1000 [2 per cell]
Ir 0.5000 0.5000 0.2999 [2 per cell]
Ru 0.5000 0.5000 0.5000 [1 per cell]

Properties
calculated total energy: -7.511 eV/atom
formation enthalpy at 0 K: -7.5 eV per formula unit


The following is a PBE calculation of an optimized crystal structure of Ho7Ir2Ru2, from the Alexandria database.

Lattice parameters (Å, degrees): 7.8813 10.2655 6.8169 90.00 90.00 90.00
Space group Cmmm (No. 65)
Unique sites:
Ho 0.0000 0.0000 0.0000 [2 per cell]
Ho 0.0000 0.5000 0.2609 [4 per cell]
Ho 0.2500 0.2500 0.2727 [8 per cell]
Ir 0.0000 0.2826 0.0000 [4 per cell]
Ru 0.1790 0.0000 0.5000 [4 per cell]

Properties
calculated total energy: -6.542 eV/atom
formation enthalpy at 0 K: -3.6 eV per formula unit


The following is a PBE calculation of an optimized crystal structure of Ho6IrRu2, from the Alexandria database.

Lattice parameters (Å, degrees): 4.7686 13.0670 14.3244 90.00 90.00 90.00
Space group Fmmm (No. 69)
Unique sites:
Ho 0.0000 0.1276 0.0000 [8 per cell]
Ho 0.0000 0.1275 0.3327 [16 per cell]
Ir 0.0000 0.0000 0.5000 [4 per cell]
Ru 0.0000 0.0000 0.1669 [8 per cell]

Properties
calculated total energy: -6.546 eV/atom
excess energy over the best structure of this formula in the dataset: 0.000 eV/atom
formation enthalpy at 0 K: -4.0 eV per formula unit


The following is a PBE calculation of an optimized crystal structure of Ho12Ir5Ru3, from the Alexandria database.

Lattice parameters (Å, degrees): 16.3293 16.3293 16.3293 90.00 90.00 90.00
Space group Ia-3d (No. 230)
Unique sites:
Ho 0.0227 0.0704 0.6509 [96 per cell]
Ir 0.0000 0.0000 0.0000 [16 per cell]
Ir 0.0000 0.2500 0.3750 [24 per cell]
Ru 0.0000 0.2500 0.1250 [24 per cell]

Properties
calculated total energy: -6.474 eV/atom
formation enthalpy at 0 K: -2.4 eV per formula unit